No. 1
Entry from the Alexandria database: an optimized crystal structure of NiIrRh (PBEsol).

The space group is P3m1 (No. 156) and the conventional cell measures 4.1355, 4.1355 and 2.6103 Å, with angles of 90.00, 90.00 and 120.00 degrees. The inequivalent atoms are Ni at (0.0000, 0.0000, 0.0000), Ir at (0.6667, 0.3333, 0.3744) and Rh at (0.3333, 0.6667, 0.8713).

The formation energy is 0.19 eV/atom. The density comes out at 15.2 g/cm³. The polymorph energy (0 for the lowest one) is 0.561 eV/f.u.



No. 2
Entry from the Alexandria database: an optimized crystal structure of Cr3BI (PBEsol).

The space group is Pm-3m (No. 221) and the conventional cell measures 4.943, 4.943 and 4.943 Å, with angles of 90.00, 90.00 and 90.00 degrees. The inequivalent atoms are Cr at (0.000, 0.000, 0.500), B at (0.500, 0.500, 0.500) and I at (0.000, 0.000, 0.000).

The density comes out at 4.0 g/cm³. The polymorph energy (0 for the lowest one) is 8.902 eV/f.u.



No. 3
Entry from the Alexandria database: an optimized crystal structure of CaAgPd2Au (PBEsol).

The space group is P4/mmm (No. 123) and the conventional cell measures 4.757, 4.757 and 5.070 Å, with angles of 90.00, 90.00 and 90.00 degrees. The inequivalent atoms are Ca at (0.000, 0.000, 0.000), Ag at (0.500, 0.500, 0.500), Pd at (0.000, 0.500, 0.000) and Au at (0.000, 0.000, 0.500).

The formation energy is 0.90 eV/atom. The density comes out at 8.1 g/cm³.



No. 4
Entry from the Alexandria database: an optimized crystal structure of Rb8Zr6MnBr20 (PBEsol).

The space group is Fm-3m (No. 225) and the conventional cell measures 16.650, 16.650 and 16.650 Å, with angles of 90.00, 90.00 and 90.00 degrees. The inequivalent atoms are Rb at (0.140, 0.140, 0.140), Zr at (0.000, 0.000, 0.355), Mn at (0.000, 0.000, 0.500), Br at (0.000, 0.000, 0.184), Br at (0.000, 0.164, 0.336) and Br at (0.250, 0.250, 0.250).

The density comes out at 4.2 g/cm³. For the total energy, the calculation gives -4.64 eV per atom.



No. 5
Entry from the Alexandria database: an optimized crystal structure of Zn2HgOs (PBEsol).

The space group is R-3m (No. 166, hexagonal axes) and the conventional cell measures 2.8348, 2.8348 and 27.2278 Å, with angles of 90.00, 90.00 and 120.00 degrees. The inequivalent atoms are Zn at (0.0000, 0.0000, 0.2419), Hg at (0.0000, 0.0000, 0.0000) and Os at (0.0000, 0.0000, 0.5000).

The formation energy is 0.29 eV/atom. The density comes out at 13.7 g/cm³.



No. 6
Entry from the Alexandria database: an optimized crystal structure of Er2SiRh3 (PBEsol).

The space group is R-3m (No. 166, hexagonal axes) and the conventional cell measures 5.4652, 5.4652 and 11.4596 Å, with angles of 90.00, 90.00 and 120.00 degrees. The inequivalent atoms are Er at (0.0000, 0.0000, 0.1288), Si at (0.0000, 0.0000, 0.5000) and Rh at (0.0000, 0.5000, 0.0000).

The density comes out at 11.3 g/cm³. For the total energy, the calculation gives -7.70 eV per atom.



No. 7
Entry from the Alexandria database: an optimized crystal structure of Cs2BrCl (PBEsol).

The space group is I-42d (No. 122) and the conventional cell measures 7.910, 7.910 and 15.317 Å, with angles of 90.00, 90.00 and 90.00 degrees. The inequivalent atoms are Cs at (0.230, 0.250, 0.125), Br at (0.000, 0.000, 0.500) and Cl at (0.000, 0.000, 0.000).

The density comes out at 2.6 g/cm³. The polymorph energy (0 for the lowest one) is 0.326 eV/f.u.



No. 8
Entry from the Alexandria database: an optimized crystal structure of CrRh2 (PBEsol).

The space group is Pnma (No. 62) and the conventional cell measures 4.585, 4.176 and 7.944 Å, with angles of 90.00, 90.00 and 90.00 degrees. The inequivalent atoms are Cr at (0.172, 0.250, 0.162), Rh at (0.153, 0.250, 0.829) and Rh at (0.168, 0.250, 0.493).

The formation energy is -0.13 eV/atom. The density comes out at 11.3 g/cm³.



No. 9
Entry from the Alexandria database: an optimized crystal structure of HoCuW2O8 (PBEsol).

The space group is P2/c (No. 13) and the conventional cell measures 4.975, 5.817 and 10.805 Å, with angles of 90.00, 113.80 and 90.00 degrees. The inequivalent atoms are Ho at (0.000, 0.185, 0.250), Cu at (0.500, 0.209, 0.750), W at (0.234, 0.325, 0.985), O at (0.157, 0.417, 0.615), O at (0.214, 0.125, 0.109), O at (0.271, 0.136, 0.859) and O at (0.347, 0.384, 0.406).

The density comes out at 8.4 g/cm³. For the total energy, the calculation gives -8.83 eV per atom.



No. 10
Entry from the Alexandria database: an optimized crystal structure of Sr2Cu3O5 (PBEsol).

The space group is Immm (No. 71) and the conventional cell measures 3.399, 3.909 and 18.307 Å, with angles of 90.00, 90.00 and 90.00 degrees. The inequivalent atoms are Sr at (0.000, 0.000, 0.106), Cu at (0.000, 0.000, 0.287), Cu at (0.000, 0.000, 0.500), O at (0.000, 0.000, 0.396), O at (0.000, 0.500, 0.280) and O at (0.000, 0.500, 0.500).

The density comes out at 6.1 g/cm³. The polymorph energy (0 for the lowest one) is 0.368 eV/f.u.



No. 11
Entry from the Alexandria database: an optimized crystal structure of CaTi2H (PBEsol).

The space group is Fm-3m (No. 225) and the conventional cell measures 6.500, 6.500 and 6.500 Å, with angles of 90.00, 90.00 and 90.00 degrees. The inequivalent atoms are Ca at (0.000, 0.000, 0.000), Ti at (0.250, 0.250, 0.250) and H at (0.000, 0.000, 0.500).

The density comes out at 3.3 g/cm³. For the total energy, the calculation gives -4.21 eV per atom.



No. 12
Entry from the Alexandria database: an optimized crystal structure of Co2Si2Mo (PBEsol).

The space group is P4/mbm (No. 127) and the conventional cell measures 6.709, 6.709 and 2.552 Å, with angles of 90.00, 90.00 and 90.00 degrees. The inequivalent atoms are Co at (0.149, 0.351, 0.000), Si at (0.147, 0.647, 0.500) and Mo at (0.000, 0.000, 0.500).

The density comes out at 7.8 g/cm³. For the total energy, the calculation gives -8.27 eV per atom.



No. 13
Entry from the Alexandria database: an optimized crystal structure of Ca2CdHg2 (PBEsol).

The space group is P4/mbm (No. 127) and the conventional cell measures 7.993, 7.993 and 4.051 Å, with angles of 90.00, 90.00 and 90.00 degrees. The inequivalent atoms are Ca at (0.168, 0.332, 0.000), Cd at (0.000, 0.000, 0.500) and Hg at (0.133, 0.633, 0.500).

The formation energy is -0.48 eV/atom. The density comes out at 7.6 g/cm³.



No. 14
Entry from the Alexandria database: an optimized crystal structure of SiMo2N (PBEsol).

The space group is Fm-3m (No. 225) and the conventional cell measures 5.789, 5.789 and 5.789 Å, with angles of 90.00, 90.00 and 90.00 degrees. The inequivalent atoms are Si at (0.000, 0.000, 0.000), Mo at (0.250, 0.250, 0.250) and N at (0.000, 0.000, 0.500).

The density comes out at 8.0 g/cm³. The polymorph energy (0 for the lowest one) is 0.772 eV/f.u.



No. 15
Entry from the Alexandria database: an optimized crystal structure of Hf3TiSe (PBEsol).

The space group is Pm-3m (No. 221) and the conventional cell measures 4.852, 4.852 and 4.852 Å, with angles of 90.00, 90.00 and 90.00 degrees. The inequivalent atoms are Hf at (0.000, 0.000, 0.500), Ti at (0.000, 0.000, 0.000) and Se at (0.500, 0.500, 0.500).

The density comes out at 9.6 g/cm³. For the total energy, the calculation gives -7.88 eV per atom.



No. 16
Entry from the Alexandria database: an optimized crystal structure of Cr2ReHg (PBEsol).

The space group is Cm (No. 8) and the conventional cell measures 9.400, 2.839 and 4.491 Å, with angles of 90.00, 110.16 and 90.00 degrees. The inequivalent atoms are Cr at (0.000, 0.000, 0.000), Cr at (0.194, 0.500, 0.235), Re at (0.447, 0.000, 0.442) and Hg at (0.232, 0.000, 0.763).

The formation energy is 0.52 eV/atom. The density comes out at 14.5 g/cm³.



No. 17
Entry from the Alexandria database: an optimized crystal structure of MgBe2Fe (PBEsol).

The space group is Cm (No. 8) and the conventional cell measures 9.005, 2.670 and 4.018 Å, with angles of 90.00, 116.38 and 90.00 degrees. The inequivalent atoms are Mg at (0.000, 0.000, 0.000), Be at (0.011, 0.500, 0.511), Be at (0.230, 0.000, 0.732) and Fe at (0.276, 0.500, 0.277).

The formation energy is 0.22 eV/atom. The density comes out at 3.8 g/cm³.



No. 18
Entry from the Alexandria database: an optimized crystal structure of ZnAgBiO2 (PBEsol).

The space group is P4/mmm (No. 123) and the conventional cell measures 4.087, 4.087 and 4.833 Å, with angles of 90.00, 90.00 and 90.00 degrees. The inequivalent atoms are Zn at (0.000, 0.000, 0.000), Ag at (0.000, 0.000, 0.500), Bi at (0.500, 0.500, 0.000) and O at (0.000, 0.500, 0.500).

The density comes out at 8.5 g/cm³. For the total energy, the calculation gives -3.68 eV per atom.



No. 19
Entry from the Alexandria database: an optimized crystal structure of LiLaY2 (PBEsol).

The space group is Imm2 (No. 44) and the conventional cell measures 3.716, 5.520 and 11.239 Å, with angles of 90.00, 90.00 and 90.00 degrees. The inequivalent atoms are Li at (0.000, 0.000, 0.000), La at (0.000, 0.500, 0.271), Y at (0.000, 0.000, 0.491) and Y at (0.000, 0.500, 0.719).

The formation energy is 0.09 eV/atom. The density comes out at 4.7 g/cm³. The polymorph energy (0 for the lowest one) is 0.023 eV/f.u.



No. 20
Entry from the Alexandria database: an optimized crystal structure of RbMgAs2Se (PBEsol).

The space group is P4/mmm (No. 123) and the conventional cell measures 5.057, 5.057 and 5.238 Å, with angles of 90.00, 90.00 and 90.00 degrees. The inequivalent atoms are Rb at (0.000, 0.000, 0.000), Mg at (0.500, 0.500, 0.500), As at (0.000, 0.500, 0.500) and Se at (0.500, 0.500, 0.000).

The density comes out at 4.2 g/cm³. For the total energy, the calculation gives -3.33 eV per atom.